#A
DFT (GGA-PBE) results for a relaxed structure of YSn2Pd7.

Cell: 4.1174 4.1174 11.5364 Å, 100.28 100.28 90.00°
Last column: nearest neighbours and their distance in Å.
Fractional positions:
1 Pd 0.4065 0.9065 0.8129  2 Sn 2.69, 6 Pd 2.91-2.93, 2 Y 2.93
2 Pd 0.0935 0.5935 0.1871  2 Sn 2.69, 6 Pd 2.91-2.93, 2 Y 2.93
3 Y 0.0000 0.0000 0.0000  12 Pd 2.91-2.93
4 Pd 0.7500 0.2500 0.5000  4 Sn 2.71, 4 Pd 2.91
5 Pd 0.5000 0.5000 0.0000  4 Y 2.91, 8 Pd 2.93
6 Sn 0.3289 0.3289 0.6579  8 Pd 2.69-2.71
7 Pd 0.5935 0.0935 0.1871  2 Sn 2.69, 6 Pd 2.91-2.93, 2 Y 2.93
8 Pd 0.9065 0.4065 0.8129  2 Sn 2.69, 6 Pd 2.91-2.93, 2 Y 2.93
9 Pd 0.2500 0.7500 0.5000  4 Sn 2.71, 4 Pd 2.91
10 Sn 0.6711 0.6711 0.3421  8 Pd 2.69-2.71

Summary:
* DOS(E_F): 3.3 states/eV/cell
* theoretical density: 9400 kg/m³
* total magnetic moment: 0.00 μB/cell
* space-group type: I4/mmm (139)

***

#B
DFT (GGA-PBE) results for a relaxed structure of YSn2Pd7.

Cell: 4.4981 7.6351 7.6351 Å, 122.23 90.00 90.00°
Last column: nearest neighbours and their distance in Å.
Fractional positions:
1 Pd 0.5000 0.2908 0.0732  2 Sn 2.64-2.90, 5 Pd 2.68-2.92
2 Pd 0.5000 0.9268 0.7092  2 Sn 2.64-2.90, 5 Pd 2.68-2.92
3 Pd 0.5000 0.5000 0.5000  2 Sn 2.66, 4 Pd 2.76
4 Pd 0.0000 0.7948 0.2052  2 Sn 2.59, 1 Y 2.74
5 Pd 0.0000 0.2052 0.7948  2 Sn 2.59, 1 Y 2.74
6 Y 0.0000 0.0000 0.0000  10 Pd 2.74-3.00
7 Sn 0.5000 0.6986 0.3014  5 Pd 2.59-2.66
8 Pd 0.5000 0.7092 0.9268  2 Sn 2.64-2.90, 5 Pd 2.68-2.92
9 Sn 0.5000 0.3014 0.6986  5 Pd 2.59-2.66
10 Pd 0.5000 0.0732 0.2908  2 Sn 2.64-2.90, 5 Pd 2.68-2.92

Summary:
* DOS(E_F): 3.0 states/eV/cell
* theoretical density: 8019 kg/m³
* total magnetic moment: 0.00 μB/cell
* space-group type: Cmmm (65)

***

Energy ordering: #A at the bottom, the next structure 32.0 kJ/mol of atoms above.

***

#A
DFT (GGA-PBE) results for a relaxed structure of Zn2SnPd.

Cell: 4.0544 4.1072 4.1072 Å, 90.00 90.00 90.00°
Last column: nearest neighbours and their distance in Å.
Fractional positions:
1 Pd 0.5000 0.5000 0.5000  8 Zn 2.89, 4 Sn 2.90
2 Sn 0.5000 0.0000 0.0000  8 Zn 2.89, 4 Pd 2.90
3 Zn 0.0000 0.0000 0.5000  4 Pd 2.89, 4 Sn 2.89, 4 Zn 2.90
4 Zn 0.0000 0.5000 0.0000  4 Pd 2.89, 4 Sn 2.89, 4 Zn 2.90

Summary:
* DOS(E_F): 1.6 states/eV/cell
* theoretical density: 8642 kg/m³
* total magnetic moment: 0.00 μB/cell
* space-group type: P4/mmm (123)

***

#B
DFT (GGA-PBE) results for a relaxed structure of Zn2SnPd.

Cell: 3.1567 3.1567 8.8312 Å, 79.70 79.70 60.00°
Last column: nearest neighbours and their distance in Å.
Fractional positions:
1 Sn 0.5005 0.5005 0.4985  6 Zn 3.05-3.08, 6 Sn 3.16
2 Pd 0.6664 0.6664 0.0007  6 Zn 2.60
3 Zn 0.2615 0.2615 0.2154  3 Pd 2.60
4 Zn 0.0715 0.0715 0.7855  3 Pd 2.60

Summary:
* DOS(E_F): 0.7 states/eV/cell
* theoretical density: 7926 kg/m³
* total magnetic moment: 0.00 μB/cell
* space-group type: R3m (160)

***

#C
DFT (GGA-PBE) results for a relaxed structure of Zn2SnPd.

Cell: 4.3708 4.3708 5.1196 Å, 64.73 64.73 60.00°
Last column: nearest neighbours and their distance in Å.
Fractional positions:
1 Pd 0.5000 0.5000 0.5000  6 Zn 2.64
2 Zn 0.7746 0.7746 0.6761  3 Pd 2.64, 3 Sn 2.91
3 Zn 0.2254 0.2254 0.3239  3 Pd 2.64, 3 Sn 2.91
4 Sn 0.0000 0.0000 0.0000  8 Zn 2.91-3.01

Summary:
* DOS(E_F): 1.6 states/eV/cell
* theoretical density: 8020 kg/m³
* total magnetic moment: 0.00 μB/cell
* space-group type: R-3m (166)

***

Energy ordering: #A at the bottom, the next structure 4.8 kJ/mol of atoms above.

***

#A
DFT (GGA-PBE) results for a relaxed structure of Zn2SnPd.

Cell: 3.4537 3.4537 5.8022 Å, 90.00 90.00 90.00°
Last column: nearest neighbours and their distance in Å.
Fractional positions:
1 Sn 0.5000 0.5000 0.5000  2 Pd 2.90, 8 Zn 2.94
2 Zn 0.0000 0.0000 0.7813  1 Zn 2.54, 4 Pd 2.75
3 Pd 0.5000 0.5000 0.0000  8 Zn 2.75, 2 Sn 2.90
4 Zn 0.0000 0.0000 0.2187  1 Zn 2.54, 4 Pd 2.75

Summary:
* DOS(E_F): 1.7 states/eV/cell
* theoretical density: 8540 kg/m³
* total magnetic moment: 0.00 μB/cell
* space-group type: P4/mmm (123)

***

#B
DFT (GGA-PBE) results for a relaxed structure of Zn2SnPd.

Cell: 4.0269 4.0269 9.7383 Å, 78.07 78.07 90.00°
Last column: nearest neighbours and their distance in Å.
Fractional positions:
1 Sn 0.7500 0.2500 0.5000  4 Zn 2.79, 4 Pd 2.85
2 Zn 0.5867 0.1250 0.2500  2 Zn 2.64, 2 Pd 2.68, 2 Sn 2.79
3 Zn 0.3750 0.4133 0.7500  2 Zn 2.64, 2 Pd 2.68, 2 Sn 2.79
4 Pd 0.5000 0.5000 0.0000  4 Zn 2.68, 4 Sn 2.85
5 Zn 0.8750 0.8367 0.7500  2 Zn 2.64, 2 Pd 2.68, 2 Sn 2.79
6 Pd 0.2500 0.7500 0.5000  4 Zn 2.68, 4 Sn 2.85
7 Sn 0.0000 0.0000 0.0000  4 Zn 2.79, 4 Pd 2.85
8 Zn 0.1633 0.6250 0.2500  2 Zn 2.64, 2 Pd 2.68, 2 Sn 2.79

Summary:
* DOS(E_F): 3.4 states/eV/cell
* theoretical density: 7828 kg/m³
* total magnetic moment: 0.00 μB/cell
* space-group type: I-42d (122)

***

Energy ordering: #A at the bottom, the next structure 7.3 kJ/mol of atoms above.

***

#A
DFT (GGA-PBE) results for a relaxed structure of ZnSn2Pd8.

Cell: 4.2178 7.2472 7.3112 Å, 119.71 106.76 90.00°
Last column: nearest neighbours and their distance in Å.
Fractional positions:
1 Pd 0.8528 0.8528 0.7056  2 Zn 2.75, 8 Pd 2.76-2.89, 2 Sn 2.90
2 Pd 0.3436 0.5756 0.6872  1 Zn 2.70, 3 Sn 2.71-2.72, 5 Pd 2.83-2.89
3 Sn 0.1863 0.6863 0.3726  10 Pd 2.69-2.90
4 Zn 0.5000 0.0000 0.0000  12 Pd 2.70-2.99
5 Pd 0.6564 0.8884 0.3129  1 Zn 2.70, 3 Sn 2.71-2.72, 5 Pd 2.83-2.89
6 Pd 0.0000 0.2924 0.0000  2 Sn 2.69, 7 Pd 2.76-3.01, 2 Zn 2.99
7 Pd 0.0000 0.7076 0.0000  2 Sn 2.69, 7 Pd 2.76-3.01, 2 Zn 2.99
8 Pd 0.1472 0.1472 0.2944  2 Zn 2.75, 8 Pd 2.76-2.89, 2 Sn 2.90
9 Pd 0.3436 0.1116 0.6871  1 Zn 2.70, 3 Sn 2.71-2.72, 5 Pd 2.83-2.89
10 Pd 0.6564 0.4244 0.3128  1 Zn 2.70, 3 Sn 2.71-2.72, 5 Pd 2.83-2.89
11 Sn 0.8137 0.3137 0.6274  10 Pd 2.69-2.90

Summary:
* DOS(E_F): 3.2 states/eV/cell
* theoretical density: 10468 kg/m³
* total magnetic moment: 0.00 μB/cell
* space-group type: Immm (71)

***

#B
DFT (GGA-PBE) results for a relaxed structure of ZnSn2Pd8.

Cell: 4.1784 6.2656 7.4668 Å, 106.77 106.25 90.00°
Last column: nearest neighbours and their distance in Å.
Fractional positions:
1 Pd 0.9667 0.2568 0.9333  1 Sn 2.70, 2 Zn 2.76, 7 Pd 2.78-2.93
2 Pd 0.0333 0.7432 0.0667  1 Sn 2.70, 2 Zn 2.76, 7 Pd 2.78-2.93
3 Pd 0.6694 0.9210 0.3388  1 Zn 2.62, 3 Sn 2.65-2.79, 6 Pd 2.82-2.90
4 Zn 0.5000 0.0000 0.0000  8 Pd 2.62-2.76
5 Pd 0.1536 0.2122 0.3071  3 Sn 2.71-2.82, 7 Pd 2.78-2.93, 2 Zn 3.04
6 Sn 0.7910 0.3338 0.5820  9 Pd 2.65-2.82
7 Pd 0.8464 0.7878 0.6929  3 Sn 2.71-2.82, 7 Pd 2.78-2.93, 2 Zn 3.04
8 Pd 0.4079 0.5497 0.8159  1 Zn 2.73, 2 Sn 2.76, 6 Pd 2.79-2.89
9 Pd 0.5921 0.4503 0.1841  1 Zn 2.73, 2 Sn 2.76, 6 Pd 2.79-2.89
10 Pd 0.3306 0.0790 0.6612  1 Zn 2.62, 3 Sn 2.65-2.79, 6 Pd 2.82-2.90
11 Sn 0.2090 0.6662 0.4180  9 Pd 2.65-2.82

Summary:
* DOS(E_F): 4.2 states/eV/cell
* theoretical density: 10708 kg/m³
* total magnetic moment: 0.00 μB/cell
* space-group type: C2/m (12)

***

Energy ordering: #A at the bottom, the next structure 2.2 kJ/mol of atoms above.

***

#A
DFT (GGA-PBE) results for a relaxed structure of ZnSnPd3.

Cell: 4.9245 4.9245 4.9245 Å, 90.00 90.00 90.00°
Last column: nearest neighbours and their distance in Å.
Fractional positions:
1 Zn 0.5000 0.5000 0.5000  12 Pd 3.48
2 Pd 0.5000 0.0000 0.0000  2 Sn 2.46
3 Pd 0.0000 0.0000 0.5000  2 Sn 2.46
4 Sn 0.0000 0.0000 0.0000  6 Pd 2.46
5 Pd 0.0000 0.5000 0.0000  2 Sn 2.46

Summary:
* DOS(E_F): 2.7 states/eV/cell
* theoretical density: 6999 kg/m³
* total magnetic moment: 0.00 μB/cell
* space-group type: Pm-3m (221)

***

#B
DFT (GGA-PBE) results for a relaxed structure of ZnSnPd3.

Cell: 4.6297 4.6297 4.6297 Å, 90.00 90.00 90.00°
Last column: nearest neighbours and their distance in Å.
Fractional positions:
1 Pd 0.5000 0.0000 0.0000  2 Zn 2.31
2 Zn 0.0000 0.0000 0.0000  6 Pd 2.31
3 Sn 0.5000 0.5000 0.5000  12 Pd 3.27
4 Pd 0.0000 0.5000 0.0000  2 Zn 2.31
5 Pd 0.0000 0.0000 0.5000  2 Zn 2.31

Summary:
* DOS(E_F): 3.3 states/eV/cell
* theoretical density: 8423 kg/m³
* total magnetic moment: 0.00 μB/cell
* space-group type: Pm-3m (221)

***

#C
DFT (GGA-PBE) results for a relaxed structure of ZnSnPd3.

Cell: 7.0885 6.3390 7.6990 Å, 90.00 90.00 90.00°
Last column: nearest neighbours and their distance in Å.
Fractional positions:
1 Sn 0.6511 0.4117 0.2500  8 Pd 2.68-2.81
2 Pd 0.1126 0.2420 0.7500  2 Zn 2.65, 2 Sn 2.76-2.81, 4 Pd 2.90-2.91
3 Sn 0.8489 0.9117 0.7500  8 Pd 2.68-2.81
4 Sn 0.3489 0.5883 0.7500  8 Pd 2.68-2.81
5 Zn 0.0000 0.5000 0.5000  6 Pd 2.57-2.65
6 Pd 0.8874 0.7580 0.2500  2 Zn 2.65, 2 Sn 2.76-2.81, 4 Pd 2.90-2.91
7 Pd 0.6586 0.6408 0.9518  2 Zn 2.57-2.61, 3 Sn 2.68-2.72
8 Pd 0.3874 0.7420 0.2500  2 Zn 2.65, 2 Sn 2.76-2.81, 4 Pd 2.90-2.91
9 Pd 0.3414 0.3592 0.0482  2 Zn 2.57-2.61, 3 Sn 2.68-2.72
10 Zn 0.5000 0.0000 0.5000  6 Pd 2.57-2.65
11 Pd 0.8414 0.1408 0.4518  2 Zn 2.57-2.61, 3 Sn 2.68-2.72
12 Pd 0.3414 0.3592 0.4518  2 Zn 2.57-2.61, 3 Sn 2.68-2.72
13 Pd 0.6126 0.2580 0.7500  2 Zn 2.65, 2 Sn 2.76-2.81, 4 Pd 2.90-2.91
14 Pd 0.6586 0.6408 0.5482  2 Zn 2.57-2.61, 3 Sn 2.68-2.72
15 Zn 0.5000 0.0000 0.0000  6 Pd 2.57-2.65
16 Pd 0.1586 0.8592 0.5482  2 Zn 2.57-2.61, 3 Sn 2.68-2.72
17 Pd 0.8414 0.1408 0.0482  2 Zn 2.57-2.61, 3 Sn 2.68-2.72
18 Zn 0.0000 0.5000 0.0000  6 Pd 2.57-2.65
19 Pd 0.1586 0.8592 0.9518  2 Zn 2.57-2.61, 3 Sn 2.68-2.72
20 Sn 0.1511 0.0883 0.2500  8 Pd 2.68-2.81

Summary:
* DOS(E_F): 6.7 states/eV/cell
* theoretical density: 9665 kg/m³
* total magnetic moment: 0.00 μB/cell
* space-group type: Pnma (62)

***

Energy ordering: #C at the bottom, the next structure 55.1 kJ/mol of atoms above.

***

#A
DFT (GGA-PBE) results for a relaxed structure of ZnSn2Pd2.

Cell: 7.9873 7.9873 3.1070 Å, 90.00 90.00 90.00°
Last column: nearest neighbours and their distance in Å.
Fractional positions:
1 Pd 0.3710 0.1290 0.5000  6 Sn 2.78-2.84, 3 Pd 2.92-3.11
2 Zn 0.5000 0.5000 0.0000  4 Sn 2.98, 2 Zn 3.11
3 Sn 0.6664 0.1664 0.0000  6 Pd 2.78-2.84, 2 Zn 2.98, 2 Sn 3.11
4 Zn 0.0000 0.0000 0.0000  4 Sn 2.98, 2 Zn 3.11
5 Sn 0.1664 0.3336 0.0000  6 Pd 2.78-2.84, 2 Zn 2.98, 2 Sn 3.11
6 Sn 0.3336 0.8336 0.0000  6 Pd 2.78-2.84, 2 Zn 2.98, 2 Sn 3.11
7 Pd 0.1290 0.6290 0.5000  6 Sn 2.78-2.84, 3 Pd 2.92-3.11
8 Pd 0.8710 0.3710 0.5000  6 Sn 2.78-2.84, 3 Pd 2.92-3.11
9 Pd 0.6290 0.8710 0.5000  6 Sn 2.78-2.84, 3 Pd 2.92-3.11
10 Sn 0.8336 0.6664 0.0000  6 Pd 2.78-2.84, 2 Zn 2.98, 2 Sn 3.11

Summary:
* DOS(E_F): 3.9 states/eV/cell
* theoretical density: 8640 kg/m³
* total magnetic moment: 0.00 μB/cell
* space-group type: P4/mbm (127)

***

#B
DFT (GGA-PBE) results for a relaxed structure of ZnSn2Pd2.

Cell: 6.9331 6.9331 4.0504 Å, 90.00 90.00 90.00°
Last column: nearest neighbours and their distance in Å.
Fractional positions:
1 Zn 0.0000 0.0000 0.0000  4 Pd 2.65
2 Sn 0.8400 0.3400 0.5000  6 Pd 2.76-2.95
3 Pd 0.1485 0.3515 0.0000  2 Zn 2.65, 6 Sn 2.76-2.95, 1 Pd 2.91
4 Sn 0.6600 0.8400 0.5000  6 Pd 2.76-2.95
5 Pd 0.6485 0.1485 0.0000  2 Zn 2.65, 6 Sn 2.76-2.95, 1 Pd 2.91
6 Pd 0.3515 0.8515 0.0000  2 Zn 2.65, 6 Sn 2.76-2.95, 1 Pd 2.91
7 Pd 0.8515 0.6485 0.0000  2 Zn 2.65, 6 Sn 2.76-2.95, 1 Pd 2.91
8 Zn 0.5000 0.5000 0.0000  4 Pd 2.65
9 Sn 0.3400 0.1600 0.5000  6 Pd 2.76-2.95
10 Sn 0.1600 0.6600 0.5000  6 Pd 2.76-2.95

Summary:
* DOS(E_F): 4.2 states/eV/cell
* theoretical density: 8796 kg/m³
* total magnetic moment: 0.00 μB/cell
* space-group type: P4/mbm (127)

***

#C
DFT (GGA-PBE) results for a relaxed structure of ZnSn2Pd2.

Cell: 3.9445 3.9445 7.3749 Å, 74.49 74.49 90.00°
Last column: nearest neighbours and their distance in Å.
Fractional positions:
1 Pd 0.2500 0.7500 0.5000  4 Sn 2.72, 4 Pd 2.79
2 Pd 0.7500 0.2500 0.5000  4 Sn 2.72, 4 Pd 2.79
3 Sn 0.3874 0.3874 0.2253  4 Pd 2.72
4 Zn 0.0000 0.0000 0.0000  8 Sn 3.19
5 Sn 0.6126 0.6126 0.7747  4 Pd 2.72

Summary:
* DOS(E_F): 1.9 states/eV/cell
* theoretical density: 8061 kg/m³
* total magnetic moment: 0.00 μB/cell
* space-group type: I4/mmm (139)

***

#D
DFT (GGA-PBE) results for a relaxed structure of ZnSn2Pd2.

Cell: 4.4074 4.4074 6.5680 Å, 70.40 70.40 90.00°
Last column: nearest neighbours and their distance in Å.
Fractional positions:
1 Pd 0.3857 0.3857 0.2287  1 Pd 2.64, 4 Sn 2.71
2 Sn 0.7500 0.2500 0.5000  4 Pd 2.71
3 Sn 0.2500 0.7500 0.5000  4 Pd 2.71
4 Zn 0.0000 0.0000 0.0000  8 Pd 3.39, 8 Sn 3.63
5 Pd 0.6143 0.6143 0.7713  1 Pd 2.64, 4 Sn 2.71

Summary:
* DOS(E_F): 2.7 states/eV/cell
* theoretical density: 7624 kg/m³
* total magnetic moment: 0.00 μB/cell
* space-group type: I4/mmm (139)

***

Energy ordering: #B at the bottom, the next structure 10.8 kJ/mol of atoms above.

***

#A
DFT (GGA-PBE) results for a relaxed structure of ZnSnPd6.

Cell: 3.9951 5.6155 5.6155 Å, 89.92 90.00 90.00°
Last column: nearest neighbours and their distance in Å.
Fractional positions:
1 Pd 0.0000 0.7478 0.7478  8 Pd 2.77-2.85, 2 Zn 2.80, 2 Sn 2.83
2 Pd 0.5000 0.5000 0.0000  2 Zn 2.81, 2 Sn 2.81, 8 Pd 2.82
3 Pd 0.0000 0.2548 0.7452  8 Pd 2.77-2.85, 2 Zn 2.79, 2 Sn 2.84
4 Pd 0.0000 0.7452 0.2548  8 Pd 2.77-2.85, 2 Zn 2.79, 2 Sn 2.84
5 Pd 0.5000 0.0000 0.5000  2 Sn 2.81, 2 Zn 2.81, 8 Pd 2.82
6 Sn 0.5000 0.0000 0.0000  12 Pd 2.81-2.84
7 Zn 0.5000 0.5000 0.5000  12 Pd 2.79-2.81
8 Pd 0.0000 0.2522 0.2522  8 Pd 2.77-2.85, 2 Zn 2.80, 2 Sn 2.83

Summary:
* DOS(E_F): 8.4 states/eV/cell
* theoretical density: 10843 kg/m³
* total magnetic moment: 0.00 μB/cell
* space-group type: Cmmm (65)

***

#B
DFT (GGA-PBE) results for a relaxed structure of ZnSnPd6.

Cell: 6.9849 7.4782 5.1272 Å, 43.02 46.70 57.55°
Last column: nearest neighbours and their distance in Å.
Fractional positions:
1 Sn 0.5000 0.5000 0.5000  6 Pd 2.69-2.70
2 Pd 0.7518 0.9439 0.7375  1 Zn 2.64, 6 Pd 2.69-2.89, 1 Sn 2.69
3 Pd 0.4354 0.2485 0.3713  1 Zn 2.64, 6 Pd 2.69-2.88, 1 Sn 2.70
4 Pd 0.9458 0.4357 0.8669  1 Zn 2.65, 8 Pd 2.69-2.96, 1 Sn 2.70
5 Pd 0.2482 0.0561 0.2625  1 Zn 2.64, 6 Pd 2.69-2.89, 1 Sn 2.69
6 Pd 0.0542 0.5643 0.1331  1 Zn 2.65, 8 Pd 2.69-2.96, 1 Sn 2.70
7 Zn 0.0000 0.0000 0.0000  6 Pd 2.64-2.65
8 Pd 0.5646 0.7515 0.6287  1 Zn 2.64, 6 Pd 2.69-2.88, 1 Sn 2.70

Summary:
* DOS(E_F): 3.7 states/eV/cell
* theoretical density: 10297 kg/m³
* total magnetic moment: 0.00 μB/cell
* space-group type: P-1 (2)

***

Energy ordering: #A at the bottom, the next structure 10.7 kJ/mol of atoms above.

***

#A
DFT (GGA-PBE) results for a relaxed structure of ZrSn3Pd.

Cell: 5.4919 5.4919 5.4919 Å, 90.00 90.00 90.00°
Last column: nearest neighbours and their distance in Å.
Fractional positions:
1 Sn 0.0000 0.0000 0.5000  2 Zr 2.75
2 Sn 0.5000 0.0000 0.0000  2 Zr 2.75
3 Sn 0.0000 0.5000 0.0000  2 Zr 2.75
4 Pd 0.5000 0.5000 0.5000  12 Sn 3.88
5 Zr 0.0000 0.0000 0.0000  6 Sn 2.75

Summary:
* DOS(E_F): 4.2 states/eV/cell
* theoretical density: 5552 kg/m³
* total magnetic moment: 0.00 μB/cell
* space-group type: Pm-3m (221)

***

#B
DFT (GGA-PBE) results for a relaxed structure of ZrSn3Pd.

Cell: 5.1380 5.1380 5.1380 Å, 90.00 90.00 90.00°
Last column: nearest neighbours and their distance in Å.
Fractional positions:
1 Zr 0.5000 0.5000 0.5000  12 Sn 3.63
2 Sn 0.0000 0.0000 0.5000  2 Pd 2.57
3 Sn 0.5000 0.0000 0.0000  2 Pd 2.57
4 Pd 0.0000 0.0000 0.0000  6 Sn 2.57
5 Sn 0.0000 0.5000 0.0000  2 Pd 2.57

Summary:
* DOS(E_F): 6.8 states/eV/cell
* theoretical density: 6779 kg/m³
* total magnetic moment: 0.00 μB/cell
* space-group type: Pm-3m (221)

***

Energy ordering: #B at the bottom, the next structure 28.1 kJ/mol of atoms above.